Material: SrAl2GaCu4
Method: DFT, PBE-GGA
State: relaxed

```
data_SrAl2GaCu4
_chemical_formula_sum 'Sr1 Al2 Ga1 Cu4'
_symmetry_space_group_name_H-M 'P 1'
_symmetry_Int_Tables_number 1
_cell_length_a 9.526
_cell_length_b 9.526
_cell_length_c 9.526
_cell_angle_alpha 25.37
_cell_angle_beta 25.37
_cell_angle_gamma 25.37
loop_
_symmetry_equiv_pos_as_xyz
'x,y,z'
loop_
_atom_site_label
_atom_site_type_symbol
_atom_site_fract_x
_atom_site_fract_y
_atom_site_fract_z
Sr1 Sr 0.000 0.000 0.000
Al1 Al 0.239 0.239 0.239
Al2 Al 0.761 0.761 0.761
Ga1 Ga 0.500 0.500 0.500
Cu1 Cu 0.132 0.132 0.132
Cu2 Cu 0.412 0.412 0.412
Cu3 Cu 0.588 0.588 0.588
Cu4 Cu 0.868 0.868 0.868
```

Magnetic moment: 0.00 μB per formula unit
Total energy: -29.8 eV for the cell shown